Entry 1:
{"formula": "La9Tb4Hg11", "functional": "PBE", "state": "relaxed", "cell": [[8.0051, -11.9019, 0.0000], [8.0051, 11.9019, 0.0000], [0.0000, 0.0000, 3.6382]], "species": ["La", "La", "La", "La", "La", "La", "La", "La", "La", "Tb", "Tb", "Tb", "Tb", "Hg", "Hg", "Hg", "Hg", "Hg", "Hg", "Hg", "Hg", "Hg", "Hg", "Hg"], "fractional_positions": [[0.0000, 0.0000, 0.0000], [0.1337, 0.6453, 0.0000], [0.2906, 0.4516, 0.0000], [0.3547, 0.8663, 0.0000], [0.4516, 0.2906, 0.0000], [0.5484, 0.7094, 0.0000], [0.6453, 0.1337, 0.0000], [0.7094, 0.5484, 0.0000], [0.8663, 0.3547, 0.0000], [0.0530, 0.2469, 0.0000], [0.2469, 0.0530, 0.0000], [0.7531, 0.9470, 0.0000], [0.9470, 0.7531, 0.0000], [0.0829, 0.4386, 0.5000], [0.1366, 0.8634, 0.5000], [0.2185, 0.2185, 0.5000], [0.3381, 0.6619, 0.5000], [0.4386, 0.0829, 0.5000], [0.5000, 0.5000, 0.5000], [0.5614, 0.9171, 0.5000], [0.6619, 0.3381, 0.5000], [0.7815, 0.7815, 0.5000], [0.8634, 0.1366, 0.5000], [0.9171, 0.5614, 0.5000]], "delta_e_f_kj_per_mol_fu": -957, "volume_a3_per_atom": 28.9}

Entry 2:
{"formula": "PmCd2Au", "functional": "PBE", "state": "relaxed", "cell": [[-2.5218, 2.5218, 3.6103], [2.5218, -2.5218, 3.6103], [2.5218, 2.5218, -3.6103]], "species": ["Pm", "Cd", "Cd", "Au"], "fractional_positions": [[0.0000, 0.0000, 0.0000], [0.2500, 0.7500, 0.5000], [0.5000, 0.5000, 0.0000], [0.7500, 0.2500, 0.5000]], "delta_e_f_kj_per_mol_fu": -187, "relative_energy_kj_per_mol_atoms": 0.35, "volume_a3_per_atom": 23.0}

Entry 3:
{"formula": "Sm7AlSn5", "functional": "PBE", "state": "relaxed", "cell": [[-3.1357, 5.7259, 5.3747], [3.1357, -5.7259, 5.3747], [3.1357, 5.7259, -5.3747]], "species": ["Sm", "Sm", "Sm", "Sm", "Sm", "Sm", "Sm", "Al", "Sn", "Sn", "Sn", "Sn", "Sn"], "fractional_positions": [[0.0000, 0.0000, 0.0000], [0.2816, 0.6101, 0.6715], [0.3983, 0.3983, 0.0000], [0.4331, 0.0933, 0.3398], [0.7536, 0.0933, 0.6602], [0.8399, 0.3399, 0.5000], [0.9386, 0.6101, 0.3285], [0.6980, 0.6980, 0.0000], [0.0959, 0.1039, 0.4888], [0.0959, 0.6071, 0.9920], [0.3452, 0.8452, 0.5000], [0.6151, 0.1039, 0.0080], [0.6151, 0.6071, 0.5112]], "delta_e_f_kj_per_mol_fu": -541, "volume_a3_per_atom": 29.7}

Entry 4:
{"formula": "RbTmCuCl5", "functional": "PBE", "state": "relaxed", "cell": [[4.4174, -5.9202, 0.0000], [4.4174, 5.9202, 0.0000], [-3.8610, 0.0000, 9.1347]], "species": ["Rb", "Rb", "Tm", "Tm", "Cu", "Cu", "Cl", "Cl", "Cl", "Cl", "Cl", "Cl", "Cl", "Cl", "Cl", "Cl"], "fractional_positions": [[0.1543, 0.8457, 0.7500], [0.8457, 0.1543, 0.2500], [0.5000, 0.5000, 0.0000], [0.5000, 0.5000, 0.5000], [0.1909, 0.8091, 0.2500], [0.8091, 0.1909, 0.7500], [0.1275, 0.2666, 0.9214], [0.1988, 0.6027, 0.3958], [0.2666, 0.1275, 0.4214], [0.3973, 0.8012, 0.1042], [0.4292, 0.5708, 0.7500], [0.5708, 0.4292, 0.2500], [0.6027, 0.1988, 0.8958], [0.7334, 0.8725, 0.5786], [0.8012, 0.3973, 0.6042], [0.8725, 0.7334, 0.0786]], "e_form_raw_mev_per_atom": -1746, "volume_a3_per_atom": 29.9}